ZrRe4Br GGA-PBE optimized geometry; ΔE_f (raw) = 0.638 eV/atom; space-group type = F-43m; crystal system = cubic
1.0
0.000 3.760 3.760
3.760 0.000 3.760
3.760 3.760 0.000
Zr Re Br
1 4 1
direct
0.000 0.000 0.000
0.375 0.375 0.375
0.375 0.375 0.875
0.375 0.875 0.375
0.875 0.375 0.375
0.750 0.750 0.750

SrLi2HfSe4 GGA-PBE optimized geometry; ΔE_f (raw) = -1.415 eV/atom; space-group type = I-42m; crystal system = tetragonal
1.0
7.076 0.000 0.000
0.000 7.076 0.000
0.000 0.000 8.342
Sr Li Hf Se
2 4 2 8
direct
0.000 0.000 0.000
0.500 0.500 0.500
0.000 0.500 0.250
0.000 0.500 0.750
0.500 0.000 0.250
0.500 0.000 0.750
0.000 0.000 0.500
0.500 0.500 0.000
0.208 0.208 0.329
0.208 0.792 0.671
0.292 0.292 0.829
0.292 0.708 0.171
0.708 0.292 0.171
0.708 0.708 0.829
0.792 0.208 0.671
0.792 0.792 0.329

La2InP GGA-PBE optimized geometry; energy of formation from the pure elements = -3.2 eV/f.u.; space-group type = Amm2; crystal system = orthorhombic; energy above the most stable polymorph in this dataset = 0.161 eV per atom
1.0
4.187 0.000 0.000
0.000 4.664 0.000
0.000 0.000 11.613
La In P
4 2 2
direct
0.000 0.000 0.000
0.000 0.500 0.500
0.500 0.000 0.284
0.500 0.500 0.784
0.500 0.000 0.572
0.500 0.500 0.072
0.000 0.000 0.740
0.000 0.500 0.240

AcPm5Pr8 GGA-PBE optimized geometry; energy of formation from the pure elements = 3.2 eV/f.u.; space-group type = I-4; crystal system = tetragonal
1.0
-4.952 4.952 5.310
4.952 -4.952 5.310
4.952 4.952 -5.310
Ac Pm Pr
1 5 8
direct
0.000 0.000 0.000
0.028 0.209 0.594
0.250 0.750 0.500
0.566 0.972 0.181
0.615 0.434 0.406
0.791 0.385 0.819
0.091 0.673 0.760
0.282 0.533 0.104
0.327 0.087 0.417
0.429 0.178 0.896
0.467 0.571 0.749
0.669 0.909 0.583
0.822 0.718 0.251
0.913 0.331 0.240

Cd2FeTe GGA-PBE optimized geometry; ΔE_f (raw) = 0.159 eV/atom; space-group type = Imm2; crystal system = orthorhombic
1.0
3.092 0.000 0.000
0.000 4.654 0.000
0.000 0.000 12.702
Cd Fe Te
4 2 2
direct
0.000 0.000 0.000
0.000 0.500 0.155
0.500 0.000 0.655
0.500 0.500 0.500
0.000 0.000 0.475
0.500 0.500 0.975
0.000 0.500 0.815
0.500 0.000 0.315

Hf3S2 GGA-PBE optimized geometry; ΔE_f (raw) = -0.946 eV/atom; space-group type = C2/c; crystal system = monoclinic
1.0
5.293 -3.052 0.000
5.293 3.052 0.000
-3.537 0.000 5.902
Hf S
6 4
direct
0.080 0.920 0.750
0.251 0.421 0.250
0.421 0.251 0.750
0.579 0.749 0.250
0.749 0.579 0.750
0.920 0.080 0.250
0.161 0.662 0.985
0.338 0.839 0.515
0.662 0.161 0.485
0.839 0.338 0.015

ReOsRu GGA-PBE optimized geometry; energy of formation from the pure elements = 0.2 eV/f.u.; space-group type = Cm; crystal system = monoclinic; energy above the most stable polymorph in this dataset = 0.003 eV per atom
1.0
8.660 0.000 0.000
0.000 3.860 0.000
-1.762 0.000 5.179
Re Os Ru
4 4 4
direct
0.000 0.000 0.000
0.170 0.500 0.820
0.500 0.500 0.000
0.670 0.000 0.820
0.006 0.000 0.495
0.336 0.000 0.663
0.506 0.500 0.495
0.836 0.500 0.663
0.169 0.500 0.328
0.338 0.000 0.160
0.669 0.000 0.328
0.838 0.500 0.160

ZrTl2P GGA-PBE optimized geometry; energy of formation from the pure elements = 0.8 eV/f.u.; space-group type = Cmmm; crystal system = orthorhombic
1.0
5.835 0.000 0.000
0.000 9.372 0.000
0.000 0.000 3.324
Zr Tl P
2 4 2
direct
0.000 0.000 0.000
0.500 0.500 0.000
0.250 0.250 0.500
0.250 0.750 0.500
0.750 0.250 0.500
0.750 0.750 0.500
0.000 0.500 0.000
0.500 0.000 0.000

AcTmCu2Se4 GGA-PBE optimized geometry; ΔE_f (raw) = -1.142 eV/atom; space-group type = I222; crystal system = orthorhombic
1.0
6.780 0.000 0.000
0.000 7.336 0.000
0.000 0.000 8.200
Ac Tm Cu Se
2 2 4 8
direct
0.000 0.000 0.000
0.500 0.500 0.500
0.000 0.000 0.500
0.500 0.500 0.000
0.000 0.500 0.154
0.000 0.500 0.846
0.500 0.000 0.346
0.500 0.000 0.654
0.239 0.204 0.305
0.239 0.796 0.695
0.261 0.296 0.805
0.261 0.704 0.195
0.739 0.296 0.195
0.739 0.704 0.805
0.761 0.204 0.695
0.761 0.796 0.305

Ba2TaNiAg GGA-PBE optimized geometry; energy of formation from the pure elements = 6.6 eV/f.u.; space-group type = P4/mmm; crystal system = tetragonal
1.0
6.115 0.000 0.000
0.000 6.115 0.000
0.000 0.000 5.062
Ba Ta Ni Ag
2 1 1 1
direct
0.000 0.500 0.000
0.500 0.000 0.000
0.000 0.000 0.000
0.500 0.500 0.500
0.000 0.000 0.500

La6IrPb3 GGA-PBE optimized geometry; energy of formation from the pure elements = -5.4 eV/f.u.; space-group type = P2_1/c; crystal system = monoclinic
1.0
6.261 0.000 0.000
0.000 9.230 0.000
-5.874 0.000 11.569
La Ir Pb
12 2 6
direct
0.042 0.152 0.439
0.042 0.348 0.939
0.363 0.689 0.442
0.363 0.811 0.942
0.381 0.034 0.271
0.381 0.466 0.771
0.619 0.534 0.229
0.619 0.966 0.729
0.637 0.189 0.058
0.637 0.311 0.558
0.958 0.652 0.061
0.958 0.848 0.561
0.500 0.000 0.500
0.500 0.500 0.000
0.000 0.000 0.000
0.000 0.500 0.500
0.169 0.125 0.760
0.169 0.375 0.260
0.831 0.625 0.740
0.831 0.875 0.240

In2Pb3 GGA-PBE optimized geometry; energy of formation from the pure elements = 0.5 eV/f.u.; space-group type = P-3m1; crystal system = trigonal; energy above the most stable polymorph in this dataset = 0.068 eV per atom
1.0
5.282 0.000 0.000
-2.641 4.574 0.000
0.000 0.000 6.684
In Pb
2 3
direct
0.333 0.667 0.324
0.667 0.333 0.676
0.000 0.000 0.500
0.333 0.667 0.840
0.667 0.333 0.160

CePmFeC GGA-PBE optimized geometry; energy of formation from the pure elements = 0.6 eV/f.u.; space-group type = P4/nmm; crystal system = tetragonal
1.0
3.655 0.000 0.000
0.000 3.655 0.000
0.000 0.000 11.246
Ce Pm Fe C
2 2 2 2
direct
0.250 0.750 0.000
0.750 0.250 0.000
0.250 0.250 0.301
0.750 0.750 0.699
0.250 0.750 0.500
0.750 0.250 0.500
0.250 0.250 0.574
0.750 0.750 0.426

TbEu2Ga GGA-PBE optimized geometry; energy of formation from the pure elements = -0.1 eV/f.u.; space-group type = Fm-3m; crystal system = cubic; energy above the most stable polymorph in this dataset = 0.139 eV per atom
1.0
7.819 0.000 0.000
0.000 7.819 0.000
0.000 0.000 7.819
Tb Eu Ga
4 8 4
direct
0.000 0.000 0.000
0.000 0.500 0.500
0.500 0.000 0.500
0.500 0.500 0.000
0.250 0.250 0.250
0.250 0.250 0.750
0.250 0.750 0.250
0.250 0.750 0.750
0.750 0.250 0.250
0.750 0.250 0.750
0.750 0.750 0.250
0.750 0.750 0.750
0.000 0.000 0.500
0.000 0.500 0.000
0.500 0.000 0.000
0.500 0.500 0.500

Th2Zn16Cu GGA-PBE optimized geometry; energy of formation from the pure elements = -4.1 eV/f.u.; space-group type = R3m; crystal system = trigonal
1.0
4.518 2.609 4.411
-4.518 2.609 4.411
0.000 -5.217 4.411
Th Zn Cu
2 16 1
direct
0.000 0.000 0.000
0.326 0.326 0.326
0.013 0.013 0.506
0.013 0.506 0.013
0.158 0.667 0.667
0.313 0.313 0.822
0.313 0.822 0.313
0.376 0.664 0.953
0.376 0.953 0.664
0.506 0.013 0.013
0.566 0.566 0.566
0.664 0.376 0.953
0.664 0.953 0.376
0.667 0.158 0.667
0.667 0.667 0.158
0.822 0.313 0.313
0.953 0.376 0.664
0.953 0.664 0.376
0.764 0.764 0.764

SrCaPu2O8 GGA-PBE optimized geometry; ΔE_f (raw) = -2.615 eV/atom; space-group type = I-4m2; crystal system = tetragonal
1.0
-2.735 2.735 5.231
2.735 -2.735 5.231
2.735 2.735 -5.231
Sr Ca Pu O
1 1 2 8
direct
0.000 0.000 0.000
0.750 0.250 0.500
0.250 0.750 0.500
0.500 0.500 0.000
0.156 0.128 0.538
0.156 0.618 0.028
0.382 0.410 0.538
0.382 0.844 0.972
0.590 0.128 0.972
0.590 0.618 0.462
0.872 0.410 0.028
0.872 0.844 0.462

ZrCu2Mo GGA-PBE optimized geometry; energy of formation from the pure elements = 0.5 eV/f.u.; space-group type = P2/m; crystal system = monoclinic; energy above the most stable polymorph in this dataset = 0.031 eV per atom
1.0
2.813 0.000 0.000
0.000 3.882 0.000
-0.036 0.000 5.678
Zr Cu Mo
1 2 1
direct
0.000 0.000 0.000
0.500 0.500 0.274
0.500 0.500 0.726
0.000 0.000 0.500

CaMnSe GGA-PBE optimized geometry; ΔE_f (raw) = -0.284 eV/atom; space-group type = F-43m; crystal system = cubic; energy above the most stable polymorph in this dataset = 0.491 eV per atom
1.0
6.486 0.000 0.000
0.000 6.486 0.000
0.000 0.000 6.486
Ca Mn Se
4 4 4
direct
0.000 0.000 0.000
0.000 0.500 0.500
0.500 0.000 0.500
0.500 0.500 0.000
0.000 0.000 0.500
0.000 0.500 0.000
0.500 0.000 0.000
0.500 0.500 0.500
0.250 0.250 0.750
0.250 0.750 0.250
0.750 0.250 0.250
0.750 0.750 0.750

ZrAu5 GGA-PBE optimized geometry; energy of formation from the pure elements = -1.5 eV/f.u.; space-group type = P4/mmm; crystal system = tetragonal
1.0
3.537 0.000 0.000
0.000 3.537 0.000
0.000 0.000 9.050
Zr Au
1 5
direct
0.000 0.000 0.000
0.000 0.000 0.333
0.000 0.000 0.667
0.500 0.500 0.169
0.500 0.500 0.500
0.500 0.500 0.831

Tb2Pr2Zn GGA-PBE optimized geometry; energy of formation from the pure elements = -0.2 eV/f.u.; space-group type = C2/m; crystal system = monoclinic; energy above the most stable polymorph in this dataset = 0.097 eV per atom
1.0
4.203 -4.761 0.000
4.203 4.761 0.000
-3.477 0.000 7.491
Tb Pr Zn
4 4 2
direct
0.115 0.738 0.767
0.262 0.885 0.233
0.738 0.115 0.767
0.885 0.262 0.233
0.224 0.224 0.624
0.337 0.337 0.088
0.663 0.663 0.912
0.776 0.776 0.376
0.354 0.646 0.500
0.646 0.354 0.500